Entry from Alexandria: a relaxed structure of MnTlAgF6 (PBE+U).

- total magnetic moment (μB/f.u.) = 3.0
- E_tot (eV/cell) = -81.588

abc: 6.308 6.308 8.298
angles: 90.00 90.00 120.00
Element x y z (fractional)
F1 0.415 0.311 0.880
F2 0.896 0.585 0.880
F3 0.896 0.311 0.620
Ag1 0.000 0.000 0.000
F4 0.104 0.415 0.120
F5 0.104 0.689 0.380
F6 0.689 0.585 0.620
Mn1 0.333 0.667 0.250
Tl1 0.667 0.333 0.250
F7 0.585 0.896 0.380
F8 0.585 0.689 0.120
F9 0.311 0.415 0.380
F10 0.415 0.104 0.620
Mn2 0.667 0.333 0.750
F11 0.311 0.896 0.120
Tl2 0.333 0.667 0.750
Ag2 0.000 0.000 0.500
F12 0.689 0.104 0.880